1.
Material: PrAgBr
Method: DFT, PBE
State: relaxed

Values from the calculation:
Raw total energy ... -3.99 eV/atom
Density of states at the Fermi level ... 3.7 states/eV/cell

Unit cell a=8.473 b=4.374 c=10.630 alpha=90.00 beta=91.39 gamma=90.00
Space group C2/m (No. 12)
Symmetry-distinct sites (fractional):
Pr1 0.032 0.000 0.320 [4 per cell]
Ag1 0.158 0.500 0.500 [4 per cell]
Br1 0.149 0.500 0.838 [4 per cell]

2.
Material: VCu2Ag
Method: DFT, PBE
State: relaxed

Values from the calculation:
Raw total energy ... -4.75 eV/atom
Density of states at the Fermi level ... 9.3 states/eV/cell

Unit cell a=6.042 b=6.042 c=6.042 alpha=90.00 beta=90.00 gamma=90.00
Space group Fm-3m (No. 225)
Symmetry-distinct sites (fractional):
V1 0.000 0.000 0.000 [4 per cell]
Cu1 0.250 0.250 0.250 [8 per cell]
Ag1 0.000 0.000 0.500 [4 per cell]

3.
Material: GaIrCl2
Method: DFT, PBE
State: relaxed

Values from the calculation:
Raw total energy ... -3.55 eV/atom
Density of states at the Fermi level ... 15.6 states/eV/cell

Unit cell a=3.5796 b=3.5796 c=26.3688 alpha=90.00 beta=90.00 gamma=120.00
Space group R-3m (No. 166, hexagonal axes)
Symmetry-distinct sites (fractional):
Ga1 0.0000 0.0000 0.0000 [3 per cell]
Ir1 0.0000 0.0000 0.5000 [3 per cell]
Cl1 0.0000 0.0000 0.1154 [6 per cell]

4.
Material: ZnAuS2Cl
Method: DFT, PBE
State: relaxed

Values from the calculation:
Raw total energy ... -2.42 eV/atom
Density of states at the Fermi level ... 5.7 states/eV/cell

Unit cell a=4.701 b=4.701 c=4.856 alpha=90.00 beta=90.00 gamma=90.00
Space group P4/mmm (No. 123)
Symmetry-distinct sites (fractional):
Zn1 0.000 0.000 0.000 [1 per cell]
Au1 0.500 0.500 0.500 [1 per cell]
S1 0.000 0.500 0.000 [2 per cell]
Cl1 0.000 0.000 0.500 [1 per cell]